1.
TaTl4Fe (GGA-PBE, relaxed); total DFT energy (no corrections) = -22.18 eV/cell; theoretical density = 11.65 g cm⁻³; DOS at the Fermi energy = 6.363 states/eV/f.u.; space-group type = F-43m
1.0
0.000 4.220 4.220
4.220 0.000 4.220
4.220 4.220 0.000
Ta Tl Fe
1 4 1
Direct
0.000 0.000 0.000
0.125 0.625 0.625
0.625 0.125 0.625
0.625 0.625 0.125
0.625 0.625 0.625
0.250 0.250 0.250

***

2.
TaTlFe2 (GGA-PBE, relaxed); total DFT energy (no corrections) = -58.81 eV/cell; theoretical density = 12.46 g cm⁻³; DOS at the Fermi energy = 4.055 states/eV/f.u.; space-group type = Cmmm
1.0
3.410 0.000 0.000
0.000 4.599 0.000
0.000 0.000 8.444
Ta Tl Fe
2 2 4
Direct
0.000 0.000 0.000
0.500 0.500 0.000
0.000 0.000 0.500
0.500 0.500 0.500
0.000 0.500 0.233
0.000 0.500 0.767
0.500 0.000 0.233
0.500 0.000 0.767

***

3.
Ta2TlFe (GGA-PBE, relaxed); total DFT energy (no corrections) = -65.26 eV/cell; theoretical density = 14.61 g cm⁻³; DOS at the Fermi energy = 4.165 states/eV/f.u.; space-group type = C2/m
1.0
5.728 0.000 0.000
0.000 8.252 0.000
-0.012 0.000 2.993
Ta Tl Fe
4 2 2
Direct
0.250 0.250 0.000
0.250 0.750 0.000
0.750 0.250 0.000
0.750 0.750 0.000
0.000 0.000 0.500
0.500 0.500 0.500
0.000 0.500 0.500
0.500 0.000 0.500

***

4.
Ta2TlFe (GGA-PBE, relaxed); total DFT energy (no corrections) = -66.34 eV/cell; theoretical density = 14.83 g cm⁻³; DOS at the Fermi energy = 2.900 states/eV/f.u.; space-group type = Immm
1.0
3.462 0.000 0.000
0.000 4.478 0.000
0.000 0.000 8.985
Ta Tl Fe
4 2 2
Direct
0.000 0.000 0.232
0.000 0.000 0.768
0.500 0.500 0.268
0.500 0.500 0.732
0.000 0.500 0.000
0.500 0.000 0.500
0.000 0.500 0.500
0.500 0.000 0.000

***

5.
Ta2TlFe (GGA-PBE, relaxed); total DFT energy (no corrections) = -32.98 eV/cell; theoretical density = 14.76 g cm⁻³; DOS at the Fermi energy = 4.344 states/eV/f.u.; space-group type = P4/mmm
1.0
3.996 0.000 0.000
0.000 3.996 0.000
0.000 0.000 4.384
Ta Tl Fe
2 1 1
Direct
0.000 0.500 0.000
0.500 0.000 0.000
0.000 0.000 0.500
0.500 0.500 0.500

***

6.
Ta2TlFe (GGA-PBE, relaxed); total DFT energy (no corrections) = -128.71 eV/cell; theoretical density = 14.53 g cm⁻³; DOS at the Fermi energy = 2.503 states/eV/f.u.; space-group type = F-43m
1.0
6.575 0.000 0.000
0.000 6.575 0.000
0.000 0.000 6.575
Ta Tl Fe
8 4 4
Direct
0.000 0.000 0.000
0.000 0.500 0.500
0.250 0.250 0.250
0.250 0.750 0.750
0.500 0.000 0.500
0.500 0.500 0.000
0.750 0.250 0.750
0.750 0.750 0.250
0.000 0.000 0.500
0.000 0.500 0.000
0.500 0.000 0.000
0.500 0.500 0.500
0.250 0.250 0.750
0.250 0.750 0.250
0.750 0.250 0.250
0.750 0.750 0.750

***

7.
TaTlFe2 (GGA-PBE, relaxed); total DFT energy (no corrections) = -58.62 eV/cell; theoretical density = 13.22 g cm⁻³; DOS at the Fermi energy = 3.032 states/eV/f.u.; space-group type = I-4m2
1.0
3.883 0.000 0.000
0.000 3.883 0.000
0.000 0.000 8.284
Ta Tl Fe
2 2 4
Direct
0.000 0.000 0.000
0.500 0.500 0.500
0.000 0.500 0.750
0.500 0.000 0.250
0.000 0.000 0.500
0.000 0.500 0.250
0.500 0.000 0.750
0.500 0.500 0.000

***

8.
Ta3TlFe (GGA-PBE, relaxed); total DFT energy (no corrections) = -42.96 eV/cell; theoretical density = 13.43 g cm⁻³; DOS at the Fermi energy = 3.273 states/eV/f.u.; space-group type = Pm-3m
1.0
4.630 0.000 0.000
0.000 4.630 0.000
0.000 0.000 4.630
Ta Tl Fe
3 1 1
Direct
0.000 0.000 0.500
0.000 0.500 0.000
0.500 0.000 0.000
0.500 0.500 0.500
0.000 0.000 0.000

***

9.
Ta2TlFe (GGA-PBE, relaxed); total DFT energy (no corrections) = -66.01 eV/cell; theoretical density = 14.64 g cm⁻³; DOS at the Fermi energy = 2.548 states/eV/f.u.; space-group type = Imm2
1.0
3.177 0.000 0.000
0.000 4.764 0.000
0.000 0.000 9.324
Ta Tl Fe
4 2 2
Direct
0.000 0.000 0.000
0.000 0.500 0.237
0.500 0.000 0.737
0.500 0.500 0.500
0.000 0.500 0.783
0.500 0.000 0.283
0.000 0.000 0.525
0.500 0.500 0.025

***

10.
Ta2TlFe (GGA-PBE, relaxed); total DFT energy (no corrections) = -98.02 eV/cell; theoretical density = 14.26 g cm⁻³; DOS at the Fermi energy = 4.082 states/eV/f.u.; space-group type = R-3m
1.0
3.047 0.000 0.000
-1.523 2.638 0.000
0.000 0.000 27.034
Ta Tl Fe
6 3 3
Direct
0.000 0.000 0.239
0.000 0.000 0.761
0.333 0.667 0.428
0.333 0.667 0.905
0.667 0.333 0.095
0.667 0.333 0.572
0.000 0.000 0.000
0.333 0.667 0.667
0.667 0.333 0.333
0.000 0.000 0.500
0.333 0.667 0.167
0.667 0.333 0.833

***

11.
TaTlFe2 (GGA-PBE, relaxed); total DFT energy (no corrections) = -29.87 eV/cell; theoretical density = 12.75 g cm⁻³; DOS at the Fermi energy = 3.448 states/eV/f.u.; space-group type = P4mm
1.0
3.165 0.000 0.000
0.000 3.165 0.000
0.000 0.000 6.463
Ta Tl Fe
1 1 2
Direct
0.000 0.000 0.000
0.500 0.500 0.332
0.000 0.000 0.604
0.500 0.500 0.789

***

12.
Ta2TlFe (GGA-PBE, relaxed); total DFT energy (no corrections) = -33.58 eV/cell; theoretical density = 14.76 g cm⁻³; DOS at the Fermi energy = 2.840 states/eV/f.u.; space-group type = P4/mmm
1.0
2.960 0.000 0.000
0.000 2.960 0.000
0.000 0.000 7.986
Ta Tl Fe
2 1 1
Direct
0.000 0.000 0.200
0.000 0.000 0.800
0.500 0.500 0.500
0.500 0.500 0.000